#P
# NdOsNO

A geometry-optimized NdOsNO structure (PBE, the Open Quantum Materials Database).

a b c (Å): 3.4787 5.8405 5.9032
angles (deg): 90.00 90.00 90.00
Sites, in units of the cell vectors:
Nd (0.0000, 0.2452, 0.0000)
Nd (0.0000, 0.7548, 0.5000)
Os (0.5000, 0.2057, 0.5046)
Os (0.5000, 0.7943, 0.0046)
N (0.5000, 0.0069, 0.2662)
N (0.5000, 0.9931, 0.7662)
O (0.0000, 0.3995, 0.6489)
O (0.0000, 0.6005, 0.1489)

Summary:
Total magnetization in μB/f.u.: 0.01
Space-group type: Pmc2_1, No. 26



#Q
# NdOsNO

A geometry-optimized NdOsNO structure (PBE, the Open Quantum Materials Database).

a b c (Å): 3.8533 3.8533 7.9395
angles (deg): 90.00 90.00 90.00
Sites, in units of the cell vectors:
Nd (0.2500, 0.2500, 0.1573)
Nd (0.7500, 0.7500, 0.8427)
Os (0.2500, 0.7500, 0.5000)
Os (0.7500, 0.2500, 0.5000)
N (0.2500, 0.2500, 0.6169)
N (0.7500, 0.7500, 0.3831)
O (0.2500, 0.7500, 0.0000)
O (0.7500, 0.2500, 0.0000)

Summary:
Total magnetization in μB/f.u.: 0.00
Space-group type: P4/nmm, No. 129



#R
# NdOsNO

A geometry-optimized NdOsNO structure (PBE, the Open Quantum Materials Database).

a b c (Å): 4.9795 4.9795 4.4030
angles (deg): 90.00 90.00 90.00
Sites, in units of the cell vectors:
Nd (0.2500, 0.7500, 0.0000)
Nd (0.7500, 0.2500, 0.0000)
Os (0.2500, 0.2500, 0.4997)
Os (0.7500, 0.7500, 0.5003)
N (0.2500, 0.2500, 0.0021)
N (0.7500, 0.7500, 0.9979)
O (0.2500, 0.7500, 0.5000)
O (0.7500, 0.2500, 0.5000)

Summary:
Total magnetization in μB/f.u.: 0.23
Space-group type: P4/nmm, No. 129



#S
# NdOsNO

A geometry-optimized NdOsNO structure (PBE, the Open Quantum Materials Database).

a b c (Å): 5.5336 8.8282 4.7468
angles (deg): 90.00 90.00 90.00
Sites, in units of the cell vectors:
Nd (0.0128, 0.1626, 0.0000)
Nd (0.4872, 0.1626, 0.5000)
Nd (0.5128, 0.8374, 0.0000)
Nd (0.9872, 0.8374, 0.5000)
Os (0.1124, 0.5079, 0.1851)
Os (0.3876, 0.5079, 0.6851)
Os (0.6124, 0.4921, 0.1851)
Os (0.8876, 0.4921, 0.6851)
N (0.1277, 0.6422, 0.8445)
N (0.3723, 0.6422, 0.3445)
N (0.6277, 0.3578, 0.8445)
N (0.8723, 0.3578, 0.3445)
O (0.0860, 0.0922, 0.5047)
O (0.4140, 0.0922, 0.0047)
O (0.5860, 0.9078, 0.5047)
O (0.9140, 0.9078, 0.0047)

Summary:
Total magnetization in μB/f.u.: 0.00
Space-group type: Pca2_1, No. 29



Which is most stable, and by how much? #S, by 201 meV per atom.



#P
# NdPtNO

A geometry-optimized NdPtNO structure (PBE, the Open Quantum Materials Database).

a b c (Å): 4.2292 4.2292 7.3875
angles (deg): 90.00 90.00 90.00
Sites, in units of the cell vectors:
Nd (0.2500, 0.2500, 0.1436)
Nd (0.7500, 0.7500, 0.8564)
Pt (0.2500, 0.7500, 0.5000)
Pt (0.7500, 0.2500, 0.5000)
N (0.2500, 0.2500, 0.4683)
N (0.7500, 0.7500, 0.5317)
O (0.2500, 0.7500, 0.0000)
O (0.7500, 0.2500, 0.0000)

Summary:
Total magnetization in μB/f.u.: 0.00
Space-group type: P4/nmm, No. 129



#Q
# NdPtNO

A geometry-optimized NdPtNO structure (PBE, the Open Quantum Materials Database).

a b c (Å): 4.4557 6.6191 4.8298
angles (deg): 90.00 90.00 90.00
Sites, in units of the cell vectors:
Nd (0.0000, 0.1994, 0.0000)
Nd (0.0000, 0.8006, 0.5000)
Pt (0.5000, 0.4218, 0.5238)
Pt (0.5000, 0.5782, 0.0238)
N (0.5000, 0.2960, 0.8861)
N (0.5000, 0.7040, 0.3861)
O (0.0000, 0.1397, 0.4798)
O (0.0000, 0.8603, 0.9798)

Summary:
Total magnetization in μB/f.u.: 0.00
Space-group type: Pmc2_1, No. 26



Which is most stable, and by how much? #P, by 207 meV per atom.



#P
# NdPtNO

A geometry-optimized NdPtNO structure (PBE, the Open Quantum Materials Database).

a b c (Å): 5.0243 5.0243 4.5617
angles (deg): 90.00 90.00 90.00
Sites, in units of the cell vectors:
Nd (0.2500, 0.7500, 0.0000)
Nd (0.7500, 0.2500, 0.0000)
Pt (0.2500, 0.2500, 0.4960)
Pt (0.7500, 0.7500, 0.5040)
N (0.2500, 0.2500, 0.9941)
N (0.7500, 0.7500, 0.0059)
O (0.2500, 0.7500, 0.5000)
O (0.7500, 0.2500, 0.5000)

Summary:
Total magnetization in μB/f.u.: 0.00
Space-group type: P4/nmm, No. 129



#Q
# NdPtNO

A geometry-optimized NdPtNO structure (PBE, the Open Quantum Materials Database).

a b c (Å): 3.6565 5.9485 5.8147
angles (deg): 90.00 90.00 90.00
Sites, in units of the cell vectors:
Nd (0.0000, 0.1487, 0.0000)
Nd (0.0000, 0.8513, 0.5000)
Pt (0.5000, 0.4281, 0.4353)
Pt (0.5000, 0.5719, 0.9353)
N (0.0000, 0.4119, 0.4332)
N (0.0000, 0.5881, 0.9332)
O (0.5000, 0.0063, 0.7452)
O (0.5000, 0.9937, 0.2452)

Summary:
Total magnetization in μB/f.u.: 0.00
Space-group type: Pmc2_1, No. 26



Which is most stable, and by how much? #Q, by 418 meV per atom.



#P
# NdSbNO

A geometry-optimized NdSbNO structure (PBE, the Open Quantum Materials Database).

a b c (Å): 3.9729 6.4078 6.4562
angles (deg): 90.00 90.00 90.00
Sites, in units of the cell vectors:
Nd (0.0000, 0.2014, 0.0000)
Nd (0.0000, 0.7986, 0.5000)
Sb (0.5000, 0.3234, 0.4189)
Sb (0.5000, 0.6766, 0.9189)
N (0.5000, 0.4017, 0.0891)
N (0.5000, 0.5983, 0.5891)
O (0.0000, 0.0847, 0.6843)
O (0.0000, 0.9153, 0.1843)

Summary:
Total magnetization in μB/f.u.: 0.00
Space-group type: Pmc2_1, No. 26



#Q
# NdSbNO

A geometry-optimized NdSbNO structure (PBE, the Open Quantum Materials Database).

a b c (Å): 5.6764 8.4294 6.0260
angles (deg): 90.00 90.00 90.00
Sites, in units of the cell vectors:
Nd (0.0083, 0.1331, 0.0000)
Nd (0.4917, 0.1331, 0.5000)
Nd (0.5083, 0.8669, 0.0000)
Nd (0.9917, 0.8669, 0.5000)
Sb (0.0182, 0.3767, 0.5114)
Sb (0.4818, 0.3767, 0.0114)
Sb (0.5182, 0.6233, 0.5114)
Sb (0.9818, 0.6233, 0.0114)
N (0.1536, 0.5993, 0.5168)
N (0.3464, 0.5993, 0.0168)
N (0.6536, 0.4007, 0.5168)
N (0.8464, 0.4007, 0.0168)
O (0.2490, 0.9886, 0.2493)
O (0.2510, 0.9886, 0.7493)
O (0.7490, 0.0114, 0.2493)
O (0.7510, 0.0114, 0.7493)

Summary:
Total magnetization in μB/f.u.: 0.00
Space-group type: Pca2_1, No. 29



#R
# NdSbNO

A geometry-optimized NdSbNO structure (PBE, the Open Quantum Materials Database).

a b c (Å): 3.8138 6.4342 5.8954
angles (deg): 90.00 90.00 90.00
Sites, in units of the cell vectors:
Nd (0.0000, 0.1560, 0.0000)
Nd (0.0000, 0.8440, 0.5000)
Sb (0.5000, 0.3494, 0.4806)
Sb (0.5000, 0.6506, 0.9806)
N (0.0000, 0.2055, 0.4039)
N (0.0000, 0.7945, 0.9039)
O (0.5000, 0.1453, 0.7689)
O (0.5000, 0.8547, 0.2689)

Summary:
Total magnetization in μB/f.u.: 0.00
Space-group type: Pmc2_1, No. 26



Which is most stable, and by how much? #Q, by 231 meV per atom.



#P
# NdSbNO

A geometry-optimized NdSbNO structure (PBE, the Open Quantum Materials Database).

a b c (Å): 4.9712 4.9712 5.2209
angles (deg): 90.00 90.00 90.00
Sites, in units of the cell vectors:
Nd (0.2500, 0.7500, 0.0000)
Nd (0.7500, 0.2500, 0.0000)
Sb (0.2500, 0.2500, 0.4975)
Sb (0.7500, 0.7500, 0.5025)
N (0.2500, 0.2500, 0.8876)
N (0.7500, 0.7500, 0.1124)
O (0.2500, 0.7500, 0.5000)
O (0.7500, 0.2500, 0.5000)

Summary:
Total magnetization in μB/f.u.: 0.01
Space-group type: P4/nmm, No. 129



#Q
# NdSbNO

A geometry-optimized NdSbNO structure (PBE, the Open Quantum Materials Database).

a b c (Å): 4.5170 4.5170 7.7003
angles (deg): 90.00 90.00 90.00
Sites, in units of the cell vectors:
Nd (0.2500, 0.2500, 0.1226)
Nd (0.7500, 0.7500, 0.8774)
Sb (0.2500, 0.7500, 0.5000)
Sb (0.7500, 0.2500, 0.5000)
N (0.2500, 0.2500, 0.4293)
N (0.7500, 0.7500, 0.5707)
O (0.2500, 0.7500, 0.0000)
O (0.7500, 0.2500, 0.0000)

Summary:
Total magnetization in μB/f.u.: 0.01
Space-group type: P4/nmm, No. 129



Which is most stable, and by how much? #Q, by 99 meV per atom.